1.
The following is a PBE-GGA calculation of a geometry-optimized CuSbS2Br structure, from Alexandria via LeMat-Bulk.

Summary:
Formation energy from raw total energies ... -217 meV per atom
Symmetry ... P2_1/m, No. 11

POSCAR file:
```
CuSbS2Br
1.0
4.6789 0.0000 0.0000
0.0000 7.3683 -1.0607
0.0000 -2.8899 8.7142
Cu Sb S Br
2 2 4 2
direct
0.2500 0.5666 0.4123 Cu
0.7500 0.4334 0.5877 Cu
0.2500 0.6904 0.9065 Sb
0.7500 0.3096 0.0935 Sb
0.7500 0.5560 0.4022 S
0.2500 0.4440 0.5978 S
0.7500 0.4856 0.8447 S
0.2500 0.5144 0.1553 S
0.2500 0.9943 0.8110 Br
0.7500 0.0057 0.1890 Br
```

2.
The following is a PBE-GGA calculation of a geometry-optimized KFeCo structure, from Alexandria via LeMat-Bulk.

Summary:
Energy of formation ... 54 kJ/mol of atoms
Symmetry ... P4/nmm, No. 129

POSCAR file:
```
KFeCo
1.0
3.8714 0.0000 0.0000
0.0000 3.8714 0.0000
0.0000 0.0000 10.1973
K Co Fe
2 2 2
direct
0.0000 0.5000 0.8070 K
0.5000 0.0000 0.1930 K
0.0000 0.5000 0.3729 Co
0.5000 0.0000 0.6271 Co
0.0000 0.0000 0.5000 Fe
0.5000 0.5000 0.5000 Fe
```

3.
The following is a PBE-GGA calculation of a geometry-optimized CsNaCa2Rh structure, from Alexandria via LeMat-Bulk.

Summary:
Energy of formation ... 2 kJ/mol of atoms
Symmetry ... P4/mmm, No. 123

POSCAR file:
```
CsNaCa2Rh
1.0
5.5734 0.0000 0.0000
0.0000 5.5734 0.0000
0.0000 0.0000 6.2527
Cs Na Ca Rh
1 1 2 1
direct
0.5000 0.5000 0.5000 Cs
0.0000 0.0000 0.5000 Na
0.0000 0.5000 0.0000 Ca
0.5000 0.0000 0.0000 Ca
0.0000 0.0000 0.0000 Rh
```

4.
The following is a PBE-GGA calculation of a geometry-optimized PrDy2Pd structure, from Alexandria via LeMat-Bulk.

Summary:
Energy of formation ... -31 kJ/mol of atoms
Symmetry ... R3m, No. 160

POSCAR file:
```
PrDy2Pd
1.0
3.9026 0.0000 0.0000
1.9513 3.3797 0.0000
1.9513 1.1266 9.2193
Pr Dy Pd
1 2 1
direct
0.5016 0.5016 0.4952 Pr
0.0609 0.0609 0.8174 Dy
0.2717 0.2717 0.1848 Dy
0.6658 0.6658 0.0026 Pd
```

no.,Fermi-level density of states (states/eV per cell)
1,0.67
2,4.58
3,4.07
4,4.31